Entry 1:
! SrMnAg2Br8 (PBE, relaxed); values from VASP
! formation energy without anion corrections = -0.84 eV/atom
! spin magnetization = 0.24 μB per atom
! E_tot = -39.964 eV/cell
! crystal system = monoclinic
&SYSTEM
  ibrav = 0, nat = 12, ntyp = 4
/
ATOMIC_SPECIES
Sr 87.62 Sr.upf
Mn 54.94 Mn.upf
Ag 107.87 Ag.upf
Br 79.90 Br.upf
ATOMIC_POSITIONS crystal
Sr 0.0000 0.0000 0.0000
Mn 0.0000 0.5000 0.0000
Ag 0.0000 0.2383 0.5000
Ag 0.0000 0.7617 0.5000
Br 0.1964 0.5000 0.7476
Br 0.2433 0.2952 0.1892
Br 0.2433 0.7048 0.1892
Br 0.2600 0.0000 0.6963
Br 0.7400 0.0000 0.3037
Br 0.7567 0.2952 0.8108
Br 0.7567 0.7048 0.8108
Br 0.8036 0.5000 0.2524
CELL_PARAMETERS angstrom
6.6336 0.0000 0.0000
0.0000 8.4287 0.0000
-1.7808 0.0000 6.7976



Entry 2:
! Pu4GaTc4 (PBE, relaxed); values from VASP
! spin magnetization = 2.04 μB per atom
! E_tot = -197.367 eV/cell
! crystal system = tetragonal
! formation enthalpy at 0 K = 348 meV per atom
&SYSTEM
  ibrav = 0, nat = 18, ntyp = 3
/
ATOMIC_SPECIES
Pu 244.00 Pu.upf
Ga 69.72 Ga.upf
Tc 98.00 Tc.upf
ATOMIC_POSITIONS crystal
Pu 0.0021 0.2500 0.0401
Pu 0.2500 0.0021 0.5401
Pu 0.2500 0.4979 0.5401
Pu 0.4979 0.2500 0.0401
Pu 0.5021 0.7500 0.9599
Pu 0.7500 0.5021 0.4599
Pu 0.7500 0.9979 0.4599
Pu 0.9979 0.7500 0.9599
Ga 0.2500 0.7500 0.2500
Ga 0.7500 0.2500 0.7500
Tc 0.0427 0.2500 0.3051
Tc 0.2500 0.0427 0.8051
Tc 0.2500 0.4573 0.8051
Tc 0.4573 0.2500 0.3051
Tc 0.5427 0.7500 0.6949
Tc 0.7500 0.5427 0.1949
Tc 0.7500 0.9573 0.1949
Tc 0.9573 0.7500 0.6949
CELL_PARAMETERS angstrom
6.1643 0.0000 0.0000
0.0000 6.1643 0.0000
0.0000 0.0000 9.7982



Entry 3:
! InOsAu2 (PBE, relaxed); values from VASP
! spin magnetization = 0.00 μB per atom
! E_tot = -18.818 eV/cell
! crystal system = tetragonal
! formation enthalpy at 0 K = 426 meV per atom
&SYSTEM
  ibrav = 0, nat = 4, ntyp = 3
/
ATOMIC_SPECIES
In 114.82 In.upf
Os 190.23 Os.upf
Au 196.97 Au.upf
ATOMIC_POSITIONS crystal
In 0.0000 0.0000 0.0000
Os 0.5000 0.5000 0.2308
Au 0.0000 0.0000 0.4812
Au 0.5000 0.5000 0.7301
CELL_PARAMETERS angstrom
3.3950 0.0000 0.0000
0.0000 3.3950 0.0000
0.0000 0.0000 6.1402



Entry 4:
! CaTlHgSb (PBE, relaxed); values from VASP
! formation energy without anion corrections = -0.40 eV/atom
! spin magnetization = 0.00 μB per atom
! E_tot = -41.614 eV/cell
! crystal system = cubic
&SYSTEM
  ibrav = 0, nat = 16, ntyp = 4
/
ATOMIC_SPECIES
Ca 40.08 Ca.upf
Tl 204.38 Tl.upf
Hg 200.59 Hg.upf
Sb 121.76 Sb.upf
ATOMIC_POSITIONS crystal
Ca 0.0000 0.0000 0.0000
Ca 0.0000 0.5000 0.5000
Ca 0.5000 0.0000 0.5000
Ca 0.5000 0.5000 0.0000
Tl 0.0000 0.0000 0.5000
Tl 0.0000 0.5000 0.0000
Tl 0.5000 0.0000 0.0000
Tl 0.5000 0.5000 0.5000
Hg 0.2500 0.2500 0.2500
Hg 0.2500 0.7500 0.7500
Hg 0.7500 0.2500 0.7500
Hg 0.7500 0.7500 0.2500
Sb 0.2500 0.2500 0.7500
Sb 0.2500 0.7500 0.2500
Sb 0.7500 0.2500 0.2500
Sb 0.7500 0.7500 0.7500
CELL_PARAMETERS angstrom
7.8124 0.0000 0.0000
0.0000 7.8124 0.0000
0.0000 0.0000 7.8124



Entry 5:
! RbPmHo4S8 (PBE, relaxed); values from VASP
! formation energy without anion corrections = -1.89 eV/atom
! spin magnetization = 0.00 μB per atom
! E_tot = -83.574 eV/cell
! crystal system = trigonal
&SYSTEM
  ibrav = 0, nat = 14, ntyp = 4
/
ATOMIC_SPECIES
Rb 85.47 Rb.upf
Pm 145.00 Pm.upf
Ho 164.93 Ho.upf
S 32.06 S.upf
ATOMIC_POSITIONS crystal
Rb 0.0000 0.0000 0.0000
Pm 0.3658 0.3658 0.3658
Ho 0.3666 0.3666 0.8839
Ho 0.3666 0.8839 0.3666
Ho 0.7453 0.7453 0.7453
Ho 0.8839 0.3666 0.3666
S 0.1340 0.1340 0.5661
S 0.1340 0.5661 0.1340
S 0.1396 0.6169 0.6169
S 0.1413 0.1413 0.1413
S 0.5661 0.1340 0.1340
S 0.6139 0.6139 0.6139
S 0.6169 0.1396 0.6169
S 0.6169 0.6169 0.1396
CELL_PARAMETERS angstrom
4.1137 2.3750 6.8618
-4.1137 2.3750 6.8618
0.0000 -4.7501 6.8618



Entry 6:
! Tc2NiB2 (PBE, relaxed); values from VASP
! spin magnetization = 0.00 μB per atom
! E_tot = -83.083 eV/cell
! crystal system = tetragonal
! distance to the lowest polymorph of the same formula = 0.0 meV/atom
! formation enthalpy at 0 K = -335 meV per atom
&SYSTEM
  ibrav = 0, nat = 10, ntyp = 3
/
ATOMIC_SPECIES
Tc 98.00 Tc.upf
Ni 58.69 Ni.upf
B 10.81 B.upf
ATOMIC_POSITIONS crystal
Tc 0.1792 0.3208 0.0000
Tc 0.3208 0.8208 0.0000
Tc 0.6792 0.1792 0.0000
Tc 0.8208 0.6792 0.0000
Ni 0.0000 0.0000 0.5000
Ni 0.5000 0.5000 0.5000
B 0.1159 0.6159 0.5000
B 0.3841 0.1159 0.5000
B 0.6159 0.8841 0.5000
B 0.8841 0.3841 0.5000
CELL_PARAMETERS angstrom
5.5119 0.0000 0.0000
0.0000 5.5119 0.0000
0.0000 0.0000 3.3013



Entry 7:
! Ta3VI (PBE, relaxed); values from VASP
! formation energy without anion corrections = 1.35 eV/atom
! spin magnetization = 0.00 μB per atom
! E_tot = -39.500 eV/cell
! crystal system = cubic
! distance to the lowest polymorph of the same formula = 0.0 meV/atom
&SYSTEM
  ibrav = 0, nat = 5, ntyp = 3
/
ATOMIC_SPECIES
Ta 180.95 Ta.upf
V 50.94 V.upf
I 126.90 I.upf
ATOMIC_POSITIONS crystal
Ta 0.0000 0.0000 0.5000
Ta 0.0000 0.5000 0.0000
Ta 0.5000 0.0000 0.0000
V 0.0000 0.0000 0.0000
I 0.5000 0.5000 0.5000
CELL_PARAMETERS angstrom
4.7720 0.0000 0.0000
0.0000 4.7720 0.0000
0.0000 0.0000 4.7720



Entry 8:
! Zr2VTcW (PBE, relaxed); values from VASP
! spin magnetization = 0.07 μB per atom
! E_tot = -42.667 eV/cell
! crystal system = tetragonal
! distance to the lowest polymorph of the same formula = 0.0 meV/atom
! formation enthalpy at 0 K = 1373 meV per atom
&SYSTEM
  ibrav = 0, nat = 5, ntyp = 4
/
ATOMIC_SPECIES
Zr 91.22 Zr.upf
V 50.94 V.upf
Tc 98.00 Tc.upf
W 183.84 W.upf
ATOMIC_POSITIONS crystal
Zr 0.0000 0.5000 0.0000
Zr 0.5000 0.0000 0.0000
V 0.0000 0.0000 0.5000
Tc 0.5000 0.5000 0.5000
W 0.0000 0.0000 0.0000
CELL_PARAMETERS angstrom
5.0768 0.0000 0.0000
0.0000 5.0768 0.0000
0.0000 0.0000 4.3494



Entry 9:
! NaCe3Sm4Se8 (PBE, relaxed); values from VASP
! formation energy without anion corrections = -1.79 eV/atom
! spin magnetization = 0.21 μB per atom
! E_tot = -94.587 eV/cell
! crystal system = trigonal
&SYSTEM
  ibrav = 0, nat = 16, ntyp = 4
/
ATOMIC_SPECIES
Na 22.99 Na.upf
Ce 140.12 Ce.upf
Sm 150.36 Sm.upf
Se 78.96 Se.upf
ATOMIC_POSITIONS crystal
Na 0.0000 0.0000 0.0000
Ce 0.0000 0.5000 0.5000
Ce 0.5000 0.0000 0.5000
Ce 0.5000 0.5000 0.0000
Sm 0.0000 0.0000 0.5000
Sm 0.0000 0.5000 0.0000
Sm 0.5000 0.0000 0.0000
Sm 0.5000 0.5000 0.5000
Se 0.2470 0.7508 0.7508
Se 0.2489 0.2489 0.2489
Se 0.2492 0.2492 0.7530
Se 0.2492 0.7530 0.2492
Se 0.7508 0.2470 0.7508
Se 0.7508 0.7508 0.2470
Se 0.7511 0.7511 0.7511
Se 0.7530 0.2492 0.2492
CELL_PARAMETERS angstrom
4.1915 2.4200 6.8623
-4.1915 2.4200 6.8623
0.0000 -4.8400 6.8623



Entry 10:
! K2NpAsO6 (PBE, relaxed); values from VASP
! formation energy without anion corrections = -2.01 eV/atom
! spin magnetization = 0.20 μB per atom
! E_tot = -69.600 eV/cell
! crystal system = cubic
&SYSTEM
  ibrav = 0, nat = 10, ntyp = 4
/
ATOMIC_SPECIES
K 39.10 K.upf
Np 237.00 Np.upf
As 74.92 As.upf
O 16.00 O.upf
ATOMIC_POSITIONS crystal
K 0.2500 0.2500 0.2500
K 0.7500 0.7500 0.7500
Np 0.0000 0.0000 0.0000
As 0.5000 0.5000 0.5000
O 0.2619 0.2619 0.7381
O 0.2619 0.7381 0.2619
O 0.2619 0.7381 0.7381
O 0.7381 0.2619 0.2619
O 0.7381 0.2619 0.7381
O 0.7381 0.7381 0.2619
CELL_PARAMETERS angstrom
0.0000 4.0627 4.0627
4.0627 0.0000 4.0627
4.0627 4.0627 0.0000



Entry 11:
! HfScN2 (PBE, relaxed); values from VASP
! formation energy without anion corrections = -1.67 eV/atom
! spin magnetization = 0.00 μB per atom
! E_tot = -118.853 eV/cell
! crystal system = trigonal
&SYSTEM
  ibrav = 0, nat = 12, ntyp = 3
/
ATOMIC_SPECIES
Hf 178.49 Hf.upf
Sc 44.96 Sc.upf
N 14.01 N.upf
ATOMIC_POSITIONS crystal
Hf 0.0000 0.0000 0.0000
Hf 0.3333 0.6667 0.6667
Hf 0.6667 0.3333 0.3333
Sc 0.0000 0.0000 0.8252
Sc 0.3333 0.6667 0.4919
Sc 0.6667 0.3333 0.1585
N 0.0000 0.0000 0.4094
N 0.0000 0.0000 0.5853
N 0.3333 0.6667 0.0761
N 0.3333 0.6667 0.2519
N 0.6667 0.3333 0.7428
N 0.6667 0.3333 0.9186
CELL_PARAMETERS angstrom
3.1668 0.0000 0.0000
-1.5834 2.7425 0.0000
0.0000 0.0000 16.4617



Entry 12:
! PmDy3Pb5 (PBE, relaxed); values from VASP
! spin magnetization = 0.00 μB per atom
! E_tot = -81.356 eV/cell
! crystal system = hexagonal
! formation enthalpy at 0 K = -398 meV per atom
&SYSTEM
  ibrav = 0, nat = 18, ntyp = 3
/
ATOMIC_SPECIES
Pm 145.00 Pm.upf
Dy 162.50 Dy.upf
Pb 207.20 Pb.upf
ATOMIC_POSITIONS crystal
Pm 0.0000 0.0000 0.0000
Pm 0.0000 0.0000 0.5000
Dy 0.0000 0.3791 0.2500
Dy 0.0000 0.6209 0.7500
Dy 0.3791 0.0000 0.2500
Dy 0.3791 0.3791 0.7500
Dy 0.6209 0.0000 0.7500
Dy 0.6209 0.6209 0.2500
Pb 0.0000 0.2952 0.7500
Pb 0.0000 0.7048 0.2500
Pb 0.2952 0.0000 0.7500
Pb 0.2952 0.2952 0.2500
Pb 0.3333 0.6667 0.0000
Pb 0.3333 0.6667 0.5000
Pb 0.6667 0.3333 0.0000
Pb 0.6667 0.3333 0.5000
Pb 0.7048 0.0000 0.2500
Pb 0.7048 0.7048 0.7500
CELL_PARAMETERS angstrom
9.6000 0.0000 0.0000
-4.8000 8.3139 0.0000
0.0000 0.0000 6.5575